# TiAlVAu, optimized geometry, DFT GGA-PBE
# Total magnetization, μB per formula unit: 1.5
# Electronic total energy, eV per atom: -6.1255
# Fermi-level density of states, states/eV/cell: 24.1
data_TiAlVAu
_symmetry_space_group_name_H-M 'F -4 3 m'
_symmetry_Int_Tables_number 216
_symmetry_space_group_name_Hall 'F -4 2 3'
_cell_length_a 6.3158
_cell_length_b 6.3158
_cell_length_c 6.3158
_cell_angle_alpha 90.00
_cell_angle_beta 90.00
_cell_angle_gamma 90.00
loop_
_atom_site_label
_atom_site_type_symbol
_atom_site_fract_x
_atom_site_fract_y
_atom_site_fract_z
Ti1 Ti 0.0000 0.0000 0.0000
Al1 Al 0.0000 0.0000 0.5000
V1 V 0.2500 0.2500 0.7500
Au1 Au 0.2500 0.2500 0.2500